# 1
Cs2PuPaS4 | GGA-PBE | relaxed

Results
For the energy relative to the elements, uncorrected, the calculation gives -1.5234 eV per atom.

Lattice parameters (Å, degrees): 7.167 4.129 8.440 90.00 106.30 90.00
Atoms (fractional coordinates):
Cs (0.000, 0.000, 0.000)
Cs (0.500, 0.500, 0.000)
Pu (0.000, 0.500, 0.500)
Pa (0.500, 0.000, 0.500)
S (0.237, 0.000, 0.681)
S (0.280, 0.500, 0.318)
S (0.720, 0.500, 0.682)
S (0.763, 0.000, 0.319)


# 2
Ge2BiB | GGA-PBE | relaxed

Results
For the energy relative to the elements, the calculation gives 118 kJ/mol of formula units.

Lattice parameters (Å, degrees): 6.731 6.731 6.731 130.38 130.38 72.80
Atoms (fractional coordinates):
Ge (0.024, 0.625, 0.899)
Ge (0.375, 0.274, 0.399)
Ge (0.726, 0.125, 0.101)
Ge (0.875, 0.976, 0.601)
Bi (0.250, 0.750, 0.500)
Bi (0.500, 0.500, 0.000)
B (0.000, 0.000, 0.000)
B (0.750, 0.250, 0.500)


# 3
MoPtRh2 | GGA-PBE | relaxed

Results
For the energy relative to the elements, the calculation gives 7 kJ/mol of formula units.

Lattice parameters (Å, degrees): 3.334 3.334 5.480 90.00 90.00 90.00
Atoms (fractional coordinates):
Mo (0.000, 0.000, 0.000)
Pt (0.500, 0.500, 0.265)
Rh (0.000, 0.000, 0.523)
Rh (0.500, 0.500, 0.771)


# 4
Ho5ZnHg2 | GGA-PBE | relaxed

Results
For the energy relative to the elements, the calculation gives -92 kJ/mol of formula units.

Lattice parameters (Å, degrees): 6.837 6.837 13.007 90.00 90.00 132.89
Atoms (fractional coordinates):
Ho (0.054, 0.946, 0.610)
Ho (0.054, 0.946, 0.890)
Ho (0.375, 0.625, 0.547)
Ho (0.375, 0.625, 0.953)
Ho (0.394, 0.606, 0.250)
Ho (0.606, 0.394, 0.750)
Ho (0.625, 0.375, 0.047)
Ho (0.625, 0.375, 0.453)
Ho (0.946, 0.054, 0.110)
Ho (0.946, 0.054, 0.390)
Zn (0.243, 0.757, 0.750)
Zn (0.757, 0.243, 0.250)
Hg (0.195, 0.805, 0.120)
Hg (0.195, 0.805, 0.380)
Hg (0.805, 0.195, 0.620)
Hg (0.805, 0.195, 0.880)


# 5
ThPaPt | GGA-PBE | relaxed

Results
For the energy relative to the elements, the calculation gives -185 kJ/mol of formula units.

Lattice parameters (Å, degrees): 4.544 4.434 7.577 90.00 93.63 90.00
Atoms (fractional coordinates):
Th (0.228, 0.250, 0.364)
Th (0.772, 0.750, 0.636)
Pa (0.191, 0.750, 0.976)
Pa (0.809, 0.250, 0.024)
Pt (0.340, 0.250, 0.743)
Pt (0.660, 0.750, 0.257)


# 6
Be2P2O7 | GGA-PBE | relaxed

Results
For the energy relative to the elements, uncorrected, the calculation gives -2.3632 eV per atom.

Lattice parameters (Å, degrees): 5.177 5.177 8.979 102.18 102.18 98.15
Atoms (fractional coordinates):
Be (0.020, 0.725, 0.569)
Be (0.275, 0.980, 0.931)
Be (0.725, 0.020, 0.069)
Be (0.980, 0.275, 0.431)
P (0.033, 0.410, 0.788)
P (0.410, 0.033, 0.288)
P (0.590, 0.967, 0.712)
P (0.967, 0.590, 0.212)
O (0.078, 0.433, 0.623)
O (0.083, 0.693, 0.892)
O (0.187, 0.224, 0.862)
O (0.224, 0.187, 0.362)
O (0.286, 0.714, 0.250)
O (0.307, 0.917, 0.608)
O (0.433, 0.078, 0.123)
O (0.567, 0.922, 0.877)
O (0.693, 0.083, 0.392)
O (0.714, 0.286, 0.750)
O (0.776, 0.813, 0.638)
O (0.813, 0.776, 0.138)
O (0.917, 0.307, 0.108)
O (0.922, 0.567, 0.377)